Below is crystalline Y3ErHg12 at its relaxed geometry, with properties calculated at the PBE level.

Space group: P4/mmm, No. 123
E_form in eV per atom: -0.323
E in Ha/atom: -0.0752

Geometry as POSCAR:
```
Y3ErHg12
1.0
4.514 0.000 0.000
0.000 4.514 0.000
0.000 0.000 19.205
Hg Y Er
12 3 1
direct
0.500 0.500 0.000
0.500 0.000 0.375
0.500 0.000 0.124
0.000 0.500 0.876
0.500 0.500 0.249
0.500 0.000 0.625
0.500 0.500 0.500
0.000 0.500 0.625
0.000 0.500 0.375
0.500 0.000 0.876
0.000 0.500 0.124
0.500 0.500 0.751
0.000 0.000 0.751
0.000 0.000 0.249
0.000 0.000 0.500
0.000 0.000 0.000
```

Below is crystalline YErHg2 at its relaxed geometry, with properties calculated at the PBE level.

Space group: Fm-3m, No. 225
E_form in eV per atom: -0.493
E in Ha/atom: -0.1250

Geometry as POSCAR:
```
YErHg2
1.0
-3.799 0.172 3.615
-3.696 -3.723 0.100
-0.077 -3.516 3.894
Er Hg Y
1 2 1
direct
0.500 0.500 0.500
0.250 0.250 0.250
0.750 0.750 0.750
0.000 0.000 0.000
```

Below is crystalline YEr5Hg3 at its relaxed geometry, with properties calculated at the PBE level.

Space group: P6_3/mcm, No. 193
E_form in eV per atom: -0.320
E in Ha/atom: -0.1350

Geometry as POSCAR:
```
YEr5Hg3
1.0
6.882 0.000 0.000
0.000 9.006 0.000
0.000 -4.503 7.800
Er Hg Y
10 6 2
direct
0.500 0.667 0.333
0.250 0.000 0.665
0.250 0.665 0.000
0.750 0.000 0.335
0.000 0.333 0.667
0.750 0.335 0.000
0.250 0.335 0.335
0.750 0.665 0.665
0.500 0.333 0.667
0.000 0.667 0.333
0.750 0.333 0.333
0.250 0.667 0.667
0.250 0.000 0.333
0.750 0.667 0.000
0.750 0.000 0.667
0.250 0.333 0.000
0.500 0.000 0.000
0.000 0.000 0.000
```

Below is crystalline YErHg5 at its relaxed geometry, with properties calculated at the PBE level.

Space group: Cmmm, No. 65
E_form in eV per atom: -0.242
E in Ha/atom: -0.0747

Geometry as POSCAR:
```
YErHg5
1.0
-2.740 -3.729 -2.176
4.643 -1.582 -1.445
0.529 -3.824 5.888
Hg Er Y
5 1 1
direct
0.500 0.000 0.766
0.000 0.500 0.766
0.000 0.500 0.234
0.000 0.000 0.500
0.500 0.000 0.234
0.500 0.500 0.500
0.000 0.000 0.000
```

Below is crystalline YEr5Hg6 at its relaxed geometry, with properties calculated at the PBE level.

Space group: Cmmm, No. 65
E_form in eV per atom: -0.486
E in Ha/atom: -0.1131

Geometry as POSCAR:
```
YEr5Hg6
1.0
4.945 -0.030 1.648
0.040 7.405 0.013
-0.011 -0.015 8.277
Er Hg Y
5 6 1
direct
0.333 0.000 0.334
0.334 0.500 0.332
0.667 0.000 0.666
0.666 0.500 0.668
0.000 0.500 0.000
0.832 0.748 0.336
0.168 0.252 0.664
0.500 0.252 0.000
0.832 0.252 0.336
0.168 0.748 0.664
0.500 0.748 0.000
0.000 0.000 0.000
```

Below is crystalline YErHg2 at its relaxed geometry, with properties calculated at the PBE level.

Space group: Cm, No. 8
E_form in eV per atom: -0.340
E in Ha/atom: -0.1194

Geometry as POSCAR:
```
YErHg2
1.0
-3.035 -2.061 0.668
0.349 -3.500 1.238
-1.071 1.165 9.293
Y Hg Er
1 2 1
direct
0.500 0.500 0.500
0.082 0.082 0.754
0.251 0.251 0.246
0.666 0.666 0.001
```

Below is crystalline YEr5Hg2 at its relaxed geometry, with properties calculated at the PBE level.

Space group: Immm, No. 71
E_form in eV per atom: -0.166
E in Ha/atom: -0.1434

Geometry as POSCAR:
```
YEr5Hg2
1.0
-0.386 -3.290 1.648
7.575 -2.983 -0.028
2.627 1.408 7.577
Er Hg Y
5 2 1
direct
0.000 0.500 0.500
0.636 0.589 0.139
0.364 0.861 0.411
0.364 0.411 0.861
0.636 0.139 0.589
0.737 0.763 0.763
0.263 0.237 0.237
0.000 0.000 0.000
```

Below is crystalline YEr2Hg3 at its relaxed geometry, with properties calculated at the PBE level.

Space group: P4/mmm, No. 123
E_form in eV per atom: -0.491
E in Ha/atom: -0.1191

Geometry as POSCAR:
```
YEr2Hg3
1.0
-0.631 -3.655 -0.022
1.785 -0.288 -3.239
9.530 -1.677 5.402
Hg Er Y
3 2 1
direct
0.000 0.000 0.671
0.000 0.000 0.000
0.000 0.000 0.329
0.500 0.500 0.835
0.500 0.500 0.165
0.500 0.500 0.500
```

Below is crystalline YEr5Hg4 at its relaxed geometry, with properties calculated at the PBE level.

Space group: P4/mmm, No. 123
E_form in eV per atom: -0.373
E in Ha/atom: -0.1257

Geometry as POSCAR:
```
YEr5Hg4
1.0
-0.188 3.603 -0.571
-2.886 0.203 2.230
12.199 3.093 15.508
Er Hg Y
5 4 1
direct
0.500 0.500 0.313
0.500 0.500 0.876
0.500 0.500 0.687
0.500 0.500 0.500
0.500 0.500 0.124
0.000 0.000 0.783
0.000 0.000 0.217
0.000 0.000 0.595
0.000 0.000 0.405
0.000 0.000 0.000
```

Below is crystalline YEr2Hg2 at its relaxed geometry, with properties calculated at the PBE level.

Space group: P-3m1, No. 164
E_form in eV per atom: -0.249
E in Ha/atom: -0.1282

Geometry as POSCAR:
```
YEr2Hg2
1.0
-0.181 -3.220 3.978
-0.192 -1.824 -4.781
6.325 -0.455 -0.081
Er Y Hg
2 1 2
direct
0.333 0.667 0.660
0.667 0.333 0.340
0.000 0.000 0.000
0.667 0.333 0.819
0.333 0.667 0.181
```

Below is crystalline YEr2Hg at its relaxed geometry, with properties calculated at the PBE level.

Space group: Cmcm, No. 63
E_form in eV per atom: -0.234
E in Ha/atom: -0.1546

Geometry as POSCAR:
```
YEr2Hg
1.0
-1.587 0.927 -3.153
-0.811 -6.522 0.600
-8.542 1.498 4.739
Hg Er Y
2 4 2
direct
0.745 0.491 0.250
0.255 0.509 0.750
0.131 0.262 0.457
0.869 0.738 0.543
0.131 0.262 0.043
0.869 0.738 0.957
0.454 0.908 0.250
0.546 0.092 0.750
```

Below is crystalline YEr4Hg4 at its relaxed geometry, with properties calculated at the PBE level.

Space group: P4_2/n, No. 86
E_form in eV per atom: -0.248
E in Ha/atom: -0.1150

Geometry as POSCAR:
```
YEr4Hg4
1.0
-3.406 4.210 -0.547
-7.411 -5.830 1.268
0.395 1.538 9.381
Er Hg Y
8 8 2
direct
0.407 0.591 0.149
0.907 0.649 0.909
0.093 0.091 0.649
0.093 0.909 0.351
0.407 0.409 0.851
0.593 0.149 0.409
0.907 0.351 0.091
0.593 0.851 0.591
0.596 0.897 0.205
0.096 0.295 0.397
0.904 0.397 0.705
0.596 0.103 0.795
0.404 0.205 0.103
0.096 0.705 0.603
0.904 0.603 0.295
0.404 0.795 0.897
0.000 0.000 0.000
0.500 0.500 0.500
```